The following is a GGA-PBE calculation of a relaxed Ba3Sr2Ag2Hg4 crystal, from the Alexandria database.

The structure in CIF format:
```
data_Ba3Sr2Ag2Hg4
_chemical_formula_sum 'Ba3 Sr2 Ag2 Hg4'
_symmetry_space_group_name_H-M 'P -3 m 1'
_symmetry_Int_Tables_number 164
_symmetry_space_group_name_Hall '-P 3 2"'
_cell_length_a 5.0391
_cell_length_b 5.0391
_cell_length_c 18.9526
_cell_angle_alpha 90.00
_cell_angle_beta 90.00
_cell_angle_gamma 120.00
loop_
_atom_site_label
_atom_site_fract_x
_atom_site_fract_y
_atom_site_fract_z
Ba1 0.0000 0.0000 0.0000
Ba2 0.0000 0.0000 0.2272
Sr1 0.3333 0.6667 0.5815
Ag1 0.3333 0.6667 0.1148
Hg1 0.3333 0.6667 0.3370
Hg2 0.3333 0.6667 0.8852
```

The following is a GGA-PBE calculation of a relaxed Ba2SrAgHg6 crystal, from the Alexandria database.

The structure in CIF format:
```
data_Ba2SrAgHg6
_chemical_formula_sum 'Ba8 Sr4 Ag4 Hg24'
_symmetry_space_group_name_H-M 'F m -3 m'
_symmetry_Int_Tables_number 225
_symmetry_space_group_name_Hall '-F 4 2 3'
_cell_length_a 11.543
_cell_length_b 11.543
_cell_length_c 11.543
_cell_angle_alpha 90.00
_cell_angle_beta 90.00
_cell_angle_gamma 90.00
loop_
_atom_site_label
_atom_site_fract_x
_atom_site_fract_y
_atom_site_fract_z
Ba1 0.250 0.250 0.250
Sr1 0.000 0.000 0.000
Ag1 0.000 0.000 0.500
Hg1 0.000 0.000 0.263
```

The following is a GGA-PBE calculation of a relaxed Ba2SrAg3Hg12 crystal, from the Alexandria database.

The structure in CIF format:
```
data_Ba2SrAg3Hg12
_chemical_formula_sum 'Ba6 Sr3 Ag9 Hg36'
_symmetry_space_group_name_H-M 'R -3 m'
_symmetry_Int_Tables_number 166
_symmetry_space_group_name_Hall '-R 3 2"'
_cell_length_a 7.6492
_cell_length_b 7.6492
_cell_length_c 31.6786
_cell_angle_alpha 90.00
_cell_angle_beta 90.00
_cell_angle_gamma 120.00
loop_
_atom_site_label
_atom_site_fract_x
_atom_site_fract_y
_atom_site_fract_z
Ba1 0.0000 0.0000 0.1395
Sr1 0.0000 0.0000 0.5000
Ag1 0.0000 0.5000 0.0000
Hg1 0.0563 0.5281 0.9003
Hg2 0.0611 0.5305 0.7128
```

The following is a GGA-PBE calculation of a relaxed BaTbAgHg crystal, from the Alexandria database.

The structure in CIF format:
```
data_BaTbAgHg
_chemical_formula_sum 'Ba4 Tb4 Ag4 Hg4'
_symmetry_space_group_name_H-M 'F -4 3 m'
_symmetry_Int_Tables_number 216
_symmetry_space_group_name_Hall 'F -4 2 3'
_cell_length_a 7.848
_cell_length_b 7.848
_cell_length_c 7.848
_cell_angle_alpha 90.00
_cell_angle_beta 90.00
_cell_angle_gamma 90.00
loop_
_atom_site_label
_atom_site_fract_x
_atom_site_fract_y
_atom_site_fract_z
Ba1 0.000 0.000 0.000
Tb1 0.000 0.000 0.500
Ag1 0.250 0.250 0.750
Hg1 0.250 0.250 0.250
```

Calculated energy of formation from the pure elements (eV/f.u.), listed in the same order as above: -3.92, -1.70, -2.60, -0.93
Calculated energy (eV per atom), listed in the same order as above: -1.81, -1.19, -1.13, -2.66